First-principles (GGA-PBE) data for a relaxed Ti5Mn4Nb crystal, as listed in Alexandria.

```
Ti5Mn4Nb
1.0
2.9965 0.0000 0.0000
0.0000 2.9965 0.0000
0.0000 0.0000 15.8142
Ti Mn Nb
5 4 1
Direct
0.0000 0.0000 0.0000
0.0000 0.0000 0.1893
0.0000 0.0000 0.3732
0.0000 0.0000 0.6268
0.0000 0.0000 0.8107
0.5000 0.5000 0.0942
0.5000 0.5000 0.2851
0.5000 0.5000 0.7149
0.5000 0.5000 0.9058
0.5000 0.5000 0.5000
```

For the energy relative to the elements, the calculation gives -1.94 eV/f.u. As for the space group: P4/mmm.